{
  "formula": "NdTm4Sn4",
  "functional": "PBE-GGA",
  "state": "relaxed",
  "dos_ef_per_ev_fu": 8.48,
  "magnetic_moment_mub_per_atom": 0.00,
  "spacegroup": "P4_2/n, No. 86",
  "e_form_ev_per_atom": -0.395,
  "lattice": [[9.825, 0.000, 0.000], [0.000, 9.825, 0.000], [0.000, 0.000, 6.057]],
  "species": ["Nd", "Nd", "Tm", "Tm", "Tm", "Tm", "Tm", "Tm", "Tm", "Tm", "Sn", "Sn", "Sn", "Sn", "Sn", "Sn", "Sn", "Sn"],
  "frac_coords": [[0.250, 0.250, 0.250], [0.750, 0.750, 0.750], [0.101, 0.644, 0.143], [0.144, 0.899, 0.643], [0.356, 0.601, 0.643], [0.399, 0.856, 0.143], [0.601, 0.144, 0.857], [0.644, 0.399, 0.357], [0.856, 0.101, 0.357], [0.899, 0.356, 0.857], [0.042, 0.608, 0.655], [0.108, 0.958, 0.155], [0.392, 0.542, 0.155], [0.458, 0.892, 0.655], [0.542, 0.108, 0.345], [0.608, 0.458, 0.845], [0.892, 0.042, 0.845], [0.958, 0.392, 0.345]]
}